Entry 1:
Compound: SnPbSe2
Source: Alexandria
Functional: GGA-PBE
Structure: relaxed

Geometry as POSCAR:
```
SnPbSe2
1.0
0.000 3.735 3.735
3.735 0.000 3.735
3.735 3.735 0.000
Sn Pb Se
1 1 2
direct
0.000 0.000 0.000
0.500 0.500 0.500
0.250 0.250 0.250
0.750 0.750 0.750
```

Formation energy from raw total energies ... -0.247 eV/atom
Offset from the most stable computed form ... 0.251 eV/atom
VASP energy ... -3.917 eV per atom
DOS at the Fermi energy ... 1.737 states/eV per cell

---

Entry 2:
Compound: AlSb2Br
Source: Alexandria
Functional: GGA-PBE
Structure: relaxed

Geometry as POSCAR:
```
AlSb2Br
1.0
-2.759 2.759 8.760
2.759 -2.759 8.760
2.759 2.759 -8.760
Al Sb Br
2 4 2
direct
0.000 0.000 0.000
0.750 0.250 0.500
0.036 0.625 0.911
0.375 0.286 0.411
0.714 0.125 0.089
0.875 0.964 0.589
0.250 0.750 0.500
0.500 0.500 0.000
```

Formation energy from raw total energies ... 0.260 eV/atom
Offset from the most stable computed form ... 0.459 eV/atom
VASP energy ... -3.155 eV per atom
DOS at the Fermi energy ... 3.560 states/eV per cell

---

Entry 3:
Compound: Fe6W
Source: Alexandria
Functional: GGA-PBE
Structure: relaxed

Geometry as POSCAR:
```
Fe6W
1.0
5.092 0.000 0.000
0.000 5.092 0.000
0.000 0.000 5.092
Fe W
6 1
direct
0.000 0.000 0.309
0.000 0.000 0.691
0.000 0.309 0.000
0.000 0.691 0.000
0.309 0.000 0.000
0.691 0.000 0.000
0.500 0.500 0.500
```

VASP energy ... -6.939 eV per atom
Energy of formation ... 2165 meV per atom
DOS at the Fermi energy ... 9.933 states/eV per cell

---

Entry 4:
Compound: Sc2In2Cu
Source: Alexandria
Functional: GGA-PBE
Structure: relaxed

Geometry as POSCAR:
```
Sc2In2Cu
1.0
6.926 0.000 0.000
0.000 6.926 0.000
0.000 0.000 4.545
Sc In Cu
4 4 2
direct
0.163 0.337 0.000
0.337 0.837 0.000
0.663 0.163 0.000
0.837 0.663 0.000
0.146 0.646 0.500
0.354 0.146 0.500
0.646 0.854 0.500
0.854 0.354 0.500
0.000 0.000 0.500
0.500 0.500 0.500
```

Offset from the most stable computed form ... 0.000 eV/atom
VASP energy ... -4.681 eV per atom
Energy of formation ... -234 meV per atom
DOS at the Fermi energy ... 10.444 states/eV per cell

---

Entry 5:
Compound: Hf2Cr2Fe
Source: Alexandria
Functional: GGA-PBE
Structure: relaxed

Geometry as POSCAR:
```
Hf2Cr2Fe
1.0
-2.008 2.008 5.611
2.008 -2.008 5.611
2.008 2.008 -5.611
Hf Cr Fe
2 2 1
direct
0.250 0.750 0.500
0.750 0.250 0.500
0.082 0.082 0.000
0.918 0.918 0.000
0.500 0.500 0.000
```

Offset from the most stable computed form ... 0.822 eV/atom
VASP energy ... -8.564 eV per atom
Energy of formation ... 959 meV per atom
DOS at the Fermi energy ... 7.409 states/eV per cell

---

Entry 6:
Compound: SmLu2Th
Source: Alexandria
Functional: GGA-PBE
Structure: relaxed

Geometry as POSCAR:
```
SmLu2Th
1.0
5.041 0.000 0.000
0.000 5.041 0.000
0.000 0.000 4.885
Sm Lu Th
1 2 1
direct
0.000 0.000 0.000
0.000 0.500 0.500
0.500 0.000 0.500
0.500 0.500 0.000
```

Offset from the most stable computed form ... 0.020 eV/atom
VASP energy ... -5.260 eV per atom
Energy of formation ... 35 meV per atom
DOS at the Fermi energy ... 5.116 states/eV per cell

---

We obtain total moment values of 0.00, 0.00, 8.58, 0.00, 2.88, 0.00 μB/f.u. for the records listed above, in that order.